A plane-wave DFT calculation with PBE-GGA was carried out for a geometry-optimized Co5B2P structure.

CIF file:
```
data_Co5B2P
_cell_length_a 5.2864
_cell_length_b 5.2864
_cell_length_c 10.4767
_cell_angle_alpha 90.00
_cell_angle_beta 90.00
_cell_angle_gamma 90.00
_symmetry_space_group_name_H-M 'I 4/m c m'
_symmetry_Int_Tables_number 140
_symmetry_space_group_name_Hall '-I 4 2c'
loop_
_atom_site_label
_atom_site_type_symbol
_atom_site_fract_x
_atom_site_fract_y
_atom_site_fract_z
Co1 Co 0.0000 0.0000 0.0000
Co2 Co 0.1698 0.3302 0.1412
B1 B 0.1230 0.3770 0.5000
P1 P 0.0000 0.0000 0.2500
```

Calculated values
Uncorrected energy, eV/atom: -7.144